# Dy4Te2C PBE optimized geometry
data_Dy4Te2C
_chemical_formula_sum 'Dy8 Te4 C2'
_symmetry_space_group_name_H-M 'P 1'
_symmetry_Int_Tables_number 1
_symmetry_space_group_name_Hall 'P 1'
_cell_length_a 7.3073
_cell_length_b 6.7915
_cell_length_c 7.9339
_cell_angle_alpha 90.00
_cell_angle_beta 105.60
_cell_angle_gamma 90.00
loop_
_atom_site_label
_atom_site_fract_x
_atom_site_fract_y
_atom_site_fract_z
_atom_site_occupancy
Dy1 0.5020 0.4983 0.7482 1
Te1 0.2436 0.2500 0.9347 1
Dy2 0.1100 0.7500 0.3900 1
Dy3 0.4980 0.5017 0.2518 1
Dy4 0.8850 0.2500 0.0850 1
Dy5 0.1150 0.7500 0.9150 1
Te2 0.7627 0.7500 0.5637 1
Te3 0.7564 0.7500 0.0653 1
Te4 0.2373 0.2500 0.4363 1
Dy6 0.4980 0.9983 0.2518 1
C1 0.2914 0.7500 0.1974 1
C2 0.7086 0.2500 0.8026 1
Dy7 0.8900 0.2500 0.6100 1
Dy8 0.5020 0.0017 0.7482 1
# Spin magnetization   0.00 μB per cell
# DFT total energy   -0.2044 hartree per atom
# SG   P2_1/m (11)
# ΔE_f (raw)   -0.717 eV per atom
# Density of states at the Fermi level   0.740 states/eV per atom
# ρ   8.0 g/cm3